(1)
A plane-wave DFT calculation with PBE was carried out for a geometry-optimized SrPrGd2 structure.

Geometry as POSCAR:
```
SrPrGd2
1.0
-0.0114 2.3709 -2.8001
0.1949 -1.2343 -3.4498
-12.8349 -0.2698 -2.5800
Gd Sr Pr
2 1 1
Direct
0.0916 0.0916 0.7251
0.9084 0.9084 0.2749
0.0000 0.0000 0.0000
0.5000 0.5000 0.5000
```

Calculated values
- SG = R-3m
- ΔH_f (0 K) (eV per atom) = 0.19
- offset from the most stable computed form (meV per atom) = 96.7
- spin magnetization (μB/atom) = 3.7504
- mass density (g cm⁻³) = 5.985

***

(2)
A plane-wave DFT calculation with PBE was carried out for a geometry-optimized SrPrGd2 structure.

Geometry as POSCAR:
```
SrPrGd2
1.0
-2.4707 -2.8006 0.0839
1.2917 -1.2379 -3.2793
7.1670 -6.1684 5.1517
Gd Pr Sr
2 1 1
Direct
0.0000 0.0000 0.7754
0.0000 0.0000 0.2246
0.5000 0.5000 0.0000
0.5000 0.5000 0.5000
```

Calculated values
- SG = P4/mmm
- ΔH_f (0 K) (eV per atom) = 0.09
- offset from the most stable computed form (meV per atom) = 0.0
- spin magnetization (μB/atom) = 3.8281
- mass density (g cm⁻³) = 6.001